# Cu2PO

A relaxed structure of Cu2PO (PBE, Alexandria).

```
Cu2PO
1.0
0.0000 2.8474 2.8474
2.8474 0.0000 2.8474
2.8474 2.8474 0.0000
Cu P O
2 1 1
Direct
0.2500 0.2500 0.2500 Cu
0.7500 0.7500 0.7500 Cu
0.0000 0.0000 0.0000 P
0.5000 0.5000 0.5000 O
```

Summary:
Energy above the lowest structure with this stoichiometry, eV/atom: 0.449
Crystal system: cubic
Calculated total energy, eV/atom: -4.33
D(E_F), states/eV per atom: 0.75
Formation energy (no corrections), meV per atom: 305
Spin magnetization, μB per atom: 0.2771